## Eu3In5Cl12 (PBE-GGA)

Data for Eu3In5Cl12 after structural relaxation.

POSCAR file:
```
Eu3In5Cl12
1.0
-8.745 2.021 12.234
-6.500 -10.124 -9.247
13.625 -5.102 4.309
Eu In Cl
12 20 48
Direct
0.750 0.375 0.125
0.875 0.750 0.125
0.375 0.750 0.625
0.250 0.125 0.375
0.875 0.125 0.250
0.375 0.625 0.250
0.625 0.375 0.750
0.125 0.875 0.750
0.750 0.875 0.625
0.625 0.250 0.375
0.125 0.250 0.875
0.250 0.625 0.875
0.125 0.375 0.250
0.000 0.500 0.000
0.000 0.000 0.000
0.375 0.250 0.125
0.500 0.000 0.500
0.500 0.500 0.000
0.125 0.750 0.375
0.750 0.125 0.875
0.750 0.625 0.375
0.375 0.125 0.750
0.625 0.875 0.250
0.500 0.500 0.500
0.500 0.000 0.000
0.000 0.000 0.500
0.250 0.375 0.625
0.250 0.875 0.125
0.000 0.500 0.500
0.875 0.250 0.625
0.625 0.750 0.875
0.875 0.625 0.750
0.736 0.132 0.066
0.331 0.566 0.435
0.934 0.368 0.264
0.566 0.236 0.132
0.604 0.736 0.669
0.934 0.565 0.169
0.331 0.764 0.396
0.065 0.896 0.132
0.565 0.934 0.669
0.736 0.604 0.169
0.764 0.434 0.368
0.831 0.935 0.066
0.132 0.736 0.566
0.368 0.435 0.104
0.104 0.935 0.368
0.396 0.132 0.565
0.104 0.169 0.236
0.434 0.669 0.065
0.831 0.896 0.264
0.132 0.396 0.065
0.368 0.934 0.764
0.565 0.632 0.396
0.935 0.831 0.566
0.764 0.331 0.896
0.435 0.368 0.604
0.065 0.169 0.434
0.236 0.669 0.104
0.169 0.104 0.736
0.632 0.066 0.236
0.868 0.604 0.935
0.566 0.331 0.935
0.604 0.868 0.435
0.896 0.831 0.764
0.896 0.065 0.632
0.868 0.264 0.434
0.169 0.065 0.934
0.632 0.565 0.896
0.435 0.066 0.331
0.264 0.396 0.831
0.236 0.566 0.632
0.935 0.104 0.868
0.669 0.236 0.604
0.434 0.764 0.868
0.066 0.435 0.831
0.396 0.264 0.331
0.066 0.632 0.736
0.669 0.434 0.565
0.264 0.868 0.934
```

## Properties
Uncorrected energy   -4.73 eV/atom
Crystal system   cubic

## LaSeBr2N (PBE-GGA)

Data for LaSeBr2N after structural relaxation.

POSCAR file:
```
LaSeBr2N
1.0
4.781 0.000 0.000
0.000 4.781 0.000
0.000 0.000 4.696
N Se Br La
1 1 2 1
Direct
0.000 0.000 0.000
0.000 0.000 0.500
0.000 0.500 0.000
0.500 0.000 0.000
0.500 0.500 0.500
```

## Properties
Uncorrected energy   -4.17 eV/atom
Energy above the most stable polymorph in this dataset   0 meV per atom
Crystal system   tetragonal

## EuZn2Ge2 (PBE-GGA)

Data for EuZn2Ge2 after structural relaxation.

POSCAR file:
```
EuZn2Ge2
1.0
-2.371 -0.170 3.632
1.056 -4.181 0.493
8.543 2.831 5.708
Eu Ge Zn
2 4 4
Direct
0.000 0.500 0.250
0.500 0.000 0.750
0.000 0.000 0.000
0.500 0.500 0.000
0.500 0.000 0.365
0.000 0.500 0.635
0.500 0.500 0.500
0.000 0.000 0.500
0.500 0.000 0.134
0.000 0.500 0.866
```

## Properties
Uncorrected energy   -4.81 eV/atom
ΔH_f (0 K)   -0.4002 eV per atom
Energy above the most stable polymorph in this dataset   0 meV per atom
Crystal system   tetragonal

## PPbCl2 (PBE-GGA)

Data for PPbCl2 after structural relaxation.

POSCAR file:
```
PPbCl2
1.0
8.058 0.097 0.019
6.099 5.268 -0.019
-6.888 -3.185 2.713
Cl P Pb
2 1 1
Direct
0.975 0.975 0.000
0.736 0.236 0.500
0.476 0.476 0.000
0.313 0.813 0.500
```

## Properties
Uncorrected energy   -3.33 eV/atom
Energy above the most stable polymorph in this dataset   257 meV per atom
Crystal system   orthorhombic